1.
Ho4HfIn5 | PBE | relaxed

Properties
Total DFT energy (no corrections)   -4.5539 eV per atom
Total magnetization   0.00 μB per cell
Energy of formation   -3.58 eV/f.u.

The structure in CIF format:
```
data_Ho4HfIn5
_chemical_formula_sum 'Ho4 Hf1 In5'
_cell_length_a 3.503
_cell_length_b 3.503
_cell_length_c 20.558
_cell_angle_alpha 90.00
_cell_angle_beta 90.00
_cell_angle_gamma 90.00
_space_group_name_H-M_alt 'P 4/m m m'
_space_group_IT_number 123
_space_group_name_Hall '-P 4 2'
loop_
_atom_site_label
_atom_site_fract_x
_atom_site_fract_y
_atom_site_fract_z
Ho1 0.000 0.000 0.103
Ho2 0.000 0.000 0.306
Hf1 0.000 0.000 0.500
In1 0.500 0.500 0.000
In2 0.500 0.500 0.204
In3 0.500 0.500 0.409
```

=====

2.
AcPr12Tm5 | PBE | relaxed

Properties
Total DFT energy (no corrections)   -4.6258 eV per atom
Total magnetization   0.00 μB per cell
Energy of formation   0.56 eV/f.u.

The structure in CIF format:
```
data_AcPr12Tm5
_chemical_formula_sum 'Ac1 Pr12 Tm5'
_cell_length_a 11.001
_cell_length_b 5.193
_cell_length_c 11.011
_cell_angle_alpha 90.00
_cell_angle_beta 90.33
_cell_angle_gamma 90.00
_space_group_name_H-M_alt 'P 1 2/m 1'
_space_group_IT_number 10
loop_
_space_group_symop_operation_xyz
'x,y,z'
'-x,-y,-z'
'-x,y,-z'
'x,-y,z'
loop_
_atom_site_label
_atom_site_fract_x
_atom_site_fract_y
_atom_site_fract_z
Ac1 0.000 0.000 0.000
Pr1 0.003 0.000 0.665
Pr2 0.170 0.500 0.170
Pr3 0.171 0.500 0.503
Pr4 0.335 0.000 0.997
Pr5 0.338 0.000 0.338
Pr6 0.497 0.500 0.829
Tm1 0.171 0.500 0.829
Tm2 0.333 0.000 0.667
Tm3 0.500 0.500 0.500
```

=====

3.
Ho3PuAg3S8 | PBE | relaxed

Properties
Total DFT energy (no corrections)   -5.9360 eV per atom
Total magnetization   7.99 μB per cell
ΔE_f (raw)   -1.293 eV per atom

The structure in CIF format:
```
data_Ho3PuAg3S8
_chemical_formula_sum 'Ho6 Pu2 Ag6 S16'
_cell_length_a 13.068
_cell_length_b 8.008
_cell_length_c 7.692
_cell_angle_alpha 90.00
_cell_angle_beta 122.37
_cell_angle_gamma 90.00
_space_group_name_H-M_alt 'C 1 2/m 1'
_space_group_IT_number 12
loop_
_space_group_symop_operation_xyz
'x,y,z'
'-x,-y,-z'
'-x,y,-z'
'x,-y,z'
'x+1/2,y+1/2,z'
'-x+1/2,-y+1/2,-z'
'-x+1/2,y+1/2,-z'
'x+1/2,-y+1/2,z'
loop_
_atom_site_label
_atom_site_fract_x
_atom_site_fract_y
_atom_site_fract_z
Ho1 0.000 0.000 0.000
Ho2 0.250 0.250 0.500
Pu1 0.000 0.500 0.000
Ag1 0.000 0.500 0.500
Ag2 0.250 0.250 0.000
S1 0.003 0.252 0.242
S2 0.244 0.500 0.253
S3 0.247 0.000 0.254
```

=====

4.
ReTc2Ru3 | PBE | relaxed

Properties
Total DFT energy (no corrections)   -9.9269 eV per atom
Total magnetization   0.00 μB per cell
Energy of formation   1.45 eV/f.u.

The structure in CIF format:
```
data_ReTc2Ru3
_chemical_formula_sum 'Re4 Tc8 Ru12'
_cell_length_a 12.604
_cell_length_b 4.344
_cell_length_c 7.290
_cell_angle_alpha 90.00
_cell_angle_beta 116.92
_cell_angle_gamma 90.00
_space_group_name_H-M_alt 'C 1 2/m 1'
_space_group_IT_number 12
loop_
_space_group_symop_operation_xyz
'x,y,z'
'-x,-y,-z'
'-x,y,-z'
'x,-y,z'
'x+1/2,y+1/2,z'
'-x+1/2,-y+1/2,-z'
'-x+1/2,y+1/2,-z'
'x+1/2,-y+1/2,z'
loop_
_atom_site_label
_atom_site_fract_x
_atom_site_fract_y
_atom_site_fract_z
Re1 0.113 0.000 0.070
Tc1 0.037 0.500 0.212
Tc2 0.185 0.000 0.480
Ru1 0.048 0.000 0.677
Ru2 0.160 0.500 0.676
Ru3 0.219 0.500 0.085
```